Below is an optimized crystal structure of AcZnHg2, with properties calculated at the PBE-GGA level.

Summary:
E = -1.83 eV per atom
N(E_F) = 7.92 states/eV per cell

a = 5.8875 Å, b = 7.7229 Å, c = 9.1890 Å
α = 90.00°, β = 90.00°, γ = 90.00°
Positions (direct):
Zn: 0.3600 0.7500 0.6048
Zn: 0.8600 0.2500 0.8952
Zn: 0.1400 0.7500 0.1048
Zn: 0.6400 0.2500 0.3952
Hg: 0.1426 0.5458 0.8246
Hg: 0.8574 0.0458 0.1754
Hg: 0.3574 0.9542 0.3246
Hg: 0.3574 0.5458 0.3246
Hg: 0.8574 0.4542 0.1754
Hg: 0.6426 0.0458 0.6754
Hg: 0.6426 0.4542 0.6754
Hg: 0.1426 0.9542 0.8246
Ac: 0.8601 0.7500 0.4413
Ac: 0.6399 0.7500 0.9413
Ac: 0.1399 0.2500 0.5587
Ac: 0.3601 0.2500 0.0587